Entry from the Alexandria database: ZnNi2P after structural relaxation (PBE).

It has space group I-42d (No. 122), with a = 6.512 Å, b = 6.512 Å, c = 5.030 Å, α = 90.00°, β = 90.00° and γ = 90.00°. Symmetry generates all atoms from Zn at (0.000, 0.000, 0.000), Ni at (0.193, 0.250, 0.625) and P at (0.000, 0.000, 0.500).

Its offset from the most stable computed form is 331.2 meV/atom. For the formation energy, the calculation gives -0.17 eV per formula unit. The total magnetization is 0.0 μB per cell. The value obtained for the total energy is -4.605 eV/atom. As for the density: 6.66 g cm⁻³.

***

Entry from the Alexandria database: ZnNi2P after structural relaxation (PBE).

It has space group Imm2 (No. 44), with a = 3.051 Å, b = 3.734 Å, c = 8.498 Å, α = 90.00°, β = 90.00° and γ = 90.00°. Symmetry generates all atoms from Zn at (0.000, 0.000, 0.000), Ni at (0.000, 0.000, 0.446), Ni at (0.000, 0.500, 0.219) and P at (0.000, 0.500, 0.756).

Its offset from the most stable computed form is 166.9 meV/atom. For the formation energy, the calculation gives -0.83 eV per formula unit. The total magnetization is 0.0 μB per cell. The value obtained for the total energy is -4.769 eV/atom. As for the density: 7.33 g cm⁻³.

***

Entry from the Alexandria database: ZnNiP3 after structural relaxation (PBE).

It has space group Pm-3m (No. 221), with a = 4.432 Å, b = 4.432 Å, c = 4.432 Å, α = 90.00°, β = 90.00° and γ = 90.00°. Symmetry generates all atoms from Zn at (0.000, 0.000, 0.000), Ni at (0.500, 0.500, 0.500) and P at (0.000, 0.500, 0.500).

Its offset from the most stable computed form is 0.0 meV/atom. For the formation energy, the calculation gives 3.23 eV per formula unit. The total magnetization is 0.0 μB per cell. The value obtained for the total energy is -4.010 eV/atom. As for the density: 4.14 g cm⁻³.

***

Entry from the Alexandria database: ZnNi2P after structural relaxation (PBE).

It has space group P4/mmm (No. 123), with a = 2.818 Å, b = 2.818 Å, c = 5.994 Å, α = 90.00°, β = 90.00° and γ = 90.00°. Symmetry generates all atoms from Zn at (0.000, 0.000, 0.000), Ni at (0.500, 0.500, 0.287) and P at (0.000, 0.000, 0.500).

Its offset from the most stable computed form is 153.9 meV/atom. For the formation energy, the calculation gives -0.88 eV per formula unit. The total magnetization is 0.0 μB per cell. The value obtained for the total energy is -4.782 eV/atom. As for the density: 7.46 g cm⁻³.

***

Entry from the Alexandria database: ZnNi2P after structural relaxation (PBE).

It has space group P2/m (No. 10), with a = 2.725 Å, b = 3.573 Å, c = 5.162 Å, α = 90.00°, β = 104.32° and γ = 90.00°. Symmetry generates all atoms from Zn at (0.000, 0.000, 0.000), Ni at (0.346, 0.500, 0.726) and P at (0.000, 0.000, 0.500).

Its offset from the most stable computed form is 184.7 meV/atom. For the formation energy, the calculation gives -0.76 eV per formula unit. The total magnetization is 0.0 μB per cell. The value obtained for the total energy is -4.752 eV/atom. As for the density: 7.29 g cm⁻³.

***

Entry from the Alexandria database: Zn2NiP after structural relaxation (PBE).

It has space group I4/mmm (No. 139), with a = 3.662 Å, b = 3.662 Å, c = 7.868 Å, α = 90.00°, β = 90.00° and γ = 90.00°. Symmetry generates all atoms from Zn at (0.000, 0.500, 0.250), Ni at (0.000, 0.000, 0.000) and P at (0.000, 0.000, 0.500).

For the formation energy, the calculation gives 0.00 eV per formula unit. The total magnetization is 0.0 μB per cell. The value obtained for the total energy is -3.434 eV/atom. As for the density: 6.94 g cm⁻³.

***

Question: density of number 5 (ZnNi2P)?
Answer: 7.29 g cm⁻³

***

Question: What is the formation energy in the third record?
Answer: 3.23 eV per formula unit

***

Question: Which value of formation energy does entry 4 give?
Answer: -0.88 eV per formula unit